{
  "formula": "PaCuPbAu",
  "functional": "PBE-GGA",
  "state": "relaxed",
  "spacegroup": "F-43m (216)",
  "energy_ev_per_atom": -5.22,
  "ef_ev_per_atom": -0.0719,
  "lattice_angstrom": [[0.0000, 3.5076, 3.5076], [3.5076, 0.0000, 3.5076], [3.5076, 3.5076, 0.0000]],
  "species": ["Pa", "Cu", "Pb", "Au"],
  "frac_coords": [[0.0000, 0.0000, 0.0000], [0.2500, 0.2500, 0.2500], [0.5000, 0.5000, 0.5000], [0.7500, 0.7500, 0.7500]]
}

---

{
  "formula": "BaTeSe2Br",
  "functional": "PBE-GGA",
  "state": "relaxed",
  "spacegroup": "P4/mmm (123)",
  "formation_energy_uncorrected_mev_per_atom": -806,
  "energy_ev_per_atom": -3.55,
  "lattice_angstrom": [[5.5501, 0.0000, 0.0000], [0.0000, 5.5501, 0.0000], [0.0000, 0.0000, 5.4716]],
  "species": ["Ba", "Te", "Se", "Se", "Br"],
  "frac_coords": [[0.0000, 0.0000, 0.0000], [0.5000, 0.5000, 0.5000], [0.0000, 0.5000, 0.5000], [0.5000, 0.0000, 0.5000], [0.5000, 0.5000, 0.0000]]
}

---

Repeat the second record exactly.
{
  "formula": "BaTeSe2Br",
  "functional": "PBE-GGA",
  "state": "relaxed",
  "spacegroup": "P4/mmm (123)",
  "formation_energy_uncorrected_mev_per_atom": -806,
  "energy_ev_per_atom": -3.55,
  "lattice_angstrom": [[5.5501, 0.0000, 0.0000], [0.0000, 5.5501, 0.0000], [0.0000, 0.0000, 5.4716]],
  "species": ["Ba", "Te", "Se", "Se", "Br"],
  "frac_coords": [[0.0000, 0.0000, 0.0000], [0.5000, 0.5000, 0.5000], [0.0000, 0.5000, 0.5000], [0.5000, 0.0000, 0.5000], [0.5000, 0.5000, 0.0000]]
}

---

> Number 2 is which compound?

BaTeSe2Br